The following is a PBE calculation of crystalline AlPC at its relaxed geometry, from Alexandria.

Calculated values
Total moment (μB/f.u.): 0.00
Calculated total energy (eV per atom): -5.996
Energy above the lowest structure with this stoichiometry (eV per atom): 0.144

Geometry as POSCAR:
```
AlPC
1.0
4.1275 0.0000 0.0000
0.2747 4.3315 0.0000
1.1126 1.2747 4.8896
P C Al
2 2 2
Direct
0.4534 0.6331 0.7163 P
0.0388 0.2112 0.2208 P
0.7427 0.7722 0.8918 C
0.0319 0.5224 0.8936 C
0.5454 0.9072 0.2370 Al
0.8692 0.2295 0.6853 Al
```



The following is a PBE calculation of crystalline Cu2NiAg at its relaxed geometry, from Alexandria.

Calculated values
Total moment (μB/f.u.): 0.00
Calculated total energy (eV per atom): -4.059

Geometry as POSCAR:
```
Cu2NiAg
1.0
4.5551 -0.0418 0.0000
1.4692 4.3119 0.0000
-3.0122 -2.1350 2.6682
Ag Cu Ni
1 2 1
Direct
0.7500 0.2500 0.5000 Ag
0.0000 0.0000 0.0000 Cu
0.2500 0.7500 0.5000 Cu
0.5000 0.5000 0.0000 Ni
```



The following is a PBE calculation of crystalline BaSrHg2 at its relaxed geometry, from Alexandria.

Calculated values
Total moment (μB/f.u.): 0.00
Calculated total energy (eV per atom): -1.566

Geometry as POSCAR:
```
BaSrHg2
1.0
-1.6421 -1.9688 3.2435
-3.7911 -2.6339 -3.5180
3.7417 -4.3715 -0.7592
Sr Hg Ba
1 2 1
Direct
0.5000 0.0000 0.0000 Sr
0.0000 0.0000 0.5000 Hg
0.0000 0.5000 0.0000 Hg
0.5000 0.5000 0.5000 Ba
```



The following is a PBE calculation of crystalline AlSi2TcPd at its relaxed geometry, from Alexandria.

Calculated values
Total moment (μB/f.u.): 0.00
Calculated total energy (eV per atom): -5.704

Geometry as POSCAR:
```
AlSi2TcPd
1.0
-3.2139 -3.2413 -0.0281
1.5647 -1.5150 -4.2076
2.8695 -2.8634 2.0981
Si Tc Pd Al
2 1 1 1
Direct
0.0000 0.0000 0.5000 Si
0.5000 0.0000 0.0000 Si
0.0000 0.0000 0.0000 Tc
0.5000 0.5000 0.5000 Pd
0.0000 0.5000 0.0000 Al
```